Record 1
Computed, not measured: an optimized crystal structure of Tm3Zr3Bi2Os at the GGA-PBE level of DFT.

a b c (Å): 8.118 8.118 3.856
angles (deg): 90.00 90.00 120.00
Fractional positions:
Tm 0.244 0.244 0.500
Tm 0.000 0.756 0.500
Tm 0.756 0.000 0.500
Zr 0.000 0.387 0.000
Zr 0.613 0.613 0.000
Zr 0.387 0.000 0.000
Os 0.000 0.000 0.000
Bi 0.667 0.333 0.500
Bi 0.333 0.667 0.500

Summary:
E above lowest polymorph = 124.1 kJ/mol of formula units
symmetry = No. 189

Record 2
Computed, not measured: an optimized crystal structure of InGaOs at the GGA-PBE level of DFT.

a b c (Å): 4.300 4.300 4.300
angles (deg): 60.00 60.00 60.00
Fractional positions:
Os 0.750 0.750 0.750
In 0.250 0.250 0.250
Ga 0.000 0.000 0.000

Summary:
total energy = -15.3 eV per formula unit
symmetry = No. 216

What did the second record say?
Computed, not measured: an optimized crystal structure of InGaOs at the GGA-PBE level of DFT.

a b c (Å): 4.300 4.300 4.300
angles (deg): 60.00 60.00 60.00
Fractional positions:
Os 0.750 0.750 0.750
In 0.250 0.250 0.250
Ga 0.000 0.000 0.000

Summary:
total energy = -15.3 eV per formula unit
symmetry = No. 216